Record 1
A plane-wave DFT calculation with PBE was carried out for Zn3As2 after structural relaxation.

Values from the calculation:
Energy relative to the elements = 0.081 eV/atom

Cell and atoms, written as CIF:
```
data_Zn3As2
_symmetry_space_group_name_H-M 'F d d d'
_symmetry_Int_Tables_number 70
_cell_length_a 7.660
_cell_length_b 10.526
_cell_length_c 23.174
_cell_angle_alpha 90.00
_cell_angle_beta 90.00
_cell_angle_gamma 90.00
loop_
_symmetry_equiv_pos_as_xyz
'x,y,z'
'-x,-y,-z'
'-x+1/4,-y+1/4,z'
'x+1/4,y+1/4,-z'
'x,-y+1/4,-z+1/4'
'-x,y+1/4,z+1/4'
'-x+1/4,y,-z+1/4'
'x+1/4,-y,z+1/4'
'x,y+1/2,z+1/2'
'-x,-y+1/2,-z+1/2'
'-x+1/4,-y+3/4,z+1/2'
'x+1/4,y+3/4,-z+1/2'
'x,-y+3/4,-z+3/4'
'-x,y+3/4,z+3/4'
'-x+1/4,y+1/2,-z+3/4'
'x+1/4,-y+1/2,z+3/4'
'x+1/2,y,z+1/2'
'-x+1/2,-y,-z+1/2'
'-x+3/4,-y+1/4,z+1/2'
'x+3/4,y+1/4,-z+1/2'
'x+1/2,-y+1/4,-z+3/4'
'-x+1/2,y+1/4,z+3/4'
'-x+3/4,y,-z+3/4'
'x+3/4,-y,z+3/4'
'x+1/2,y+1/2,z'
'-x+1/2,-y+1/2,-z'
'-x+3/4,-y+3/4,z'
'x+3/4,y+3/4,-z'
'x+1/2,-y+3/4,-z+1/4'
'-x+1/2,y+3/4,z+1/4'
'-x+3/4,y+1/2,-z+1/4'
'x+3/4,-y+1/2,z+1/4'
loop_
_atom_site_label
_atom_site_fract_x
_atom_site_fract_y
_atom_site_fract_z
_atom_site_occupancy
Zn1 0.063 0.375 0.375 1
Zn2 0.094 0.360 0.198 1
As1 0.125 0.125 0.028 1
As2 0.125 0.125 0.394 1
```


Record 2
A plane-wave DFT calculation with PBE was carried out for ZnAs3 after structural relaxation.

Values from the calculation:
Energy relative to the lowest polymorph listed for this composition = 301.5 meV per atom
Energy relative to the elements = 0.353 eV/atom

Cell and atoms, written as CIF:
```
data_ZnAs3
_symmetry_space_group_name_H-M 'I 4/m m m'
_symmetry_Int_Tables_number 139
_symmetry_space_group_name_Hall '-I 4 2'
_cell_length_a 4.620
_cell_length_b 4.620
_cell_length_c 6.984
_cell_angle_alpha 90.00
_cell_angle_beta 90.00
_cell_angle_gamma 90.00
loop_
_atom_site_label
_atom_site_fract_x
_atom_site_fract_y
_atom_site_fract_z
_atom_site_occupancy
Zn1 0.000 0.000 0.000 1
As1 0.000 0.000 0.500 1
As2 0.000 0.500 0.250 1
```


Number 1: DFT total energy -203.4 eV/cell. Number 2: DFT total energy -27.6 eV/cell.